Entry from OQMD via LeMat-Bulk: a relaxed structure of Al2CdTe3S (PBE).

The value obtained for the total energy is -25.95 eV for the cell shown.

The structure belongs to space group P1 (No. 1); the cell edges are 6.1050, 6.1793 and 7.1025 Å and the angles 115.41°, 113.18° and 91.81°. The inequivalent atoms are Al at (0.0000, 0.0000, 0.0000), Al at (0.2244, 0.7655, 0.5296), Cd at (0.4738, 0.4756, 0.0085), Te at (0.3724, 0.9119, 0.2902), Te at (0.6129, 0.6172, 0.7285), Te at (0.8753, 0.3519, 0.2892) and S at (0.1035, 0.0820, 0.7557).

---

Entry from OQMD via LeMat-Bulk: a relaxed structure of SmGdIn (PBE).

Its energy relative to the lowest polymorph listed for this composition is 0 meV per atom. The value obtained for the total energy is -26.32 eV for the cell shown.

The structure belongs to space group P6_3/mmc (No. 194); the cell edges are 5.4707, 5.4707 and 6.8176 Å and the angles 90.00°, 90.00° and 120.00°. The inequivalent atoms are Sm at (0.0000, 0.0000, 0.0000), Gd at (0.3333, 0.6667, 0.2500) and In at (0.3333, 0.6667, 0.7500).

---

Entry from OQMD via LeMat-Bulk: a relaxed structure of YHo2In3Pt2 (PBE).

The value obtained for the total energy is -86.10 eV for the cell shown.

The structure belongs to space group Amm2 (No. 38); the cell edges are 3.6293, 13.3567 and 7.6829 Å and the angles 90.00°, 90.00° and 90.00°. The inequivalent atoms are Y at (0.0000, 0.0000, 0.0000), Ho at (0.0000, 0.2106, 0.3697), In at (0.5000, 0.0000, 0.3501), In at (0.5000, 0.1157, 0.6952) and Pt at (0.5000, 0.1685, 0.0811).

---

Entry from OQMD via LeMat-Bulk: a relaxed structure of Sc2Mo (PBE).

Its energy relative to the lowest polymorph listed for this composition is 1723 meV per atom. The value obtained for the total energy is -142.23 eV for the cell shown. Its energy relative to the elements is 1.9087 eV per atom.

The structure belongs to space group Fd-3m (No. 227, origin choice 2); the cell edges are 10.6697, 10.6697 and 10.6697 Å and the angles 90.00°, 90.00° and 90.00°. The inequivalent atoms are Sc at (0.0000, 0.0000, 0.0000) and Mo at (0.1250, 0.1250, 0.1250).

---

Entry from OQMD via LeMat-Bulk: a relaxed structure of Na4Ga2CuAu (PBE).

The value obtained for the total energy is -18.57 eV for the cell shown.

The structure belongs to space group P-4m2 (No. 115); the cell edges are 4.7838, 4.7838 and 6.8006 Å and the angles 90.00°, 90.00° and 90.00°. The inequivalent atoms are Na at (0.0000, 0.0000, 0.0000), Na at (0.0000, 0.5000, 0.7453), Na at (0.5000, 0.5000, 0.5000), Ga at (0.0000, 0.5000, 0.2590), Cu at (0.0000, 0.0000, 0.5000) and Au at (0.5000, 0.5000, 0.0000).

---

Entry from OQMD via LeMat-Bulk: a relaxed structure of KErHgTe3 (PBE).

The value obtained for the total energy is -82.29 eV for the cell shown.

The structure belongs to space group C2/m (No. 12); the cell edges are 20.2780, 4.4070 and 9.7417 Å and the angles 90.00°, 101.94° and 90.00°. The inequivalent atoms are K at (0.1413, 0.0000, 0.0685), Er at (0.1760, 0.0000, 0.5773), Hg at (0.0280, 0.5000, 0.7203), Te at (0.0000, 0.0000, 0.5000), Te at (0.0000, 0.5000, 0.0000), Te at (0.1720, 0.5000, 0.3608) and Te at (0.1748, 0.5000, 0.7951).

---

Entry from OQMD via LeMat-Bulk: a relaxed structure of NaTaNiHg (PBE).

Its energy relative to the lowest polymorph listed for this composition is 0 meV per atom. The value obtained for the total energy is -67.76 eV for the cell shown.

The structure belongs to space group F-43m (No. 216); the cell edges are 6.3887, 6.3887 and 6.3887 Å and the angles 90.00°, 90.00° and 90.00°. The inequivalent atoms are Na at (0.0000, 0.0000, 0.0000), Ta at (0.2500, 0.2500, 0.7500), Ni at (0.0000, 0.0000, 0.5000) and Hg at (0.2500, 0.2500, 0.2500).

---

Entry from OQMD via LeMat-Bulk: a relaxed structure of NbGa2Sn2 (PBE).

The value obtained for the total energy is -42.95 eV for the cell shown.

The structure belongs to space group I4/mmm (No. 139); the cell edges are 3.9654, 3.9654 and 14.2484 Å and the angles 90.00°, 90.00° and 90.00°. The inequivalent atoms are Nb at (0.0000, 0.0000, 0.0000), Ga at (0.0000, 0.0000, 0.4158) and Sn at (0.0000, 0.5000, 0.2500).

---

Entry from OQMD via LeMat-Bulk: a relaxed structure of NdHo2Mg3Hg2Au (PBE).

The value obtained for the total energy is -53.66 eV for the cell shown.

The structure belongs to space group Amm2 (No. 38); the cell edges are 4.2213, 13.4660 and 7.7171 Å and the angles 90.00°, 90.00° and 90.00°. The inequivalent atoms are Nd at (0.0000, 0.0000, 0.0000), Ho at (0.0000, 0.2017, 0.6087), Mg at (0.5000, 0.0000, 0.6476), Mg at (0.5000, 0.1209, 0.2878), Hg at (0.5000, 0.1712, 0.9052) and Au at (0.0000, 0.0000, 0.4131).

---

Entry from OQMD via LeMat-Bulk: a relaxed structure of KRbCd (PBE).

The value obtained for the total energy is -11.49 eV for the cell shown.

The structure belongs to space group F-43m (No. 216); the cell edges are 8.7475, 8.7475 and 8.7475 Å and the angles 90.00°, 90.00° and 90.00°. The inequivalent atoms are K at (0.0000, 0.0000, 0.0000), Rb at (0.0000, 0.0000, 0.5000) and Cd at (0.2500, 0.2500, 0.2500).

---

Entry from OQMD via LeMat-Bulk: a relaxed structure of Co2Re3 (PBE).

Its energy relative to the lowest polymorph listed for this composition is 0 meV per atom. The value obtained for the total energy is -302.59 eV for the cell shown. Its energy relative to the elements is 0.2100 eV per atom.

The structure belongs to space group P4_2/mnm (No. 136); the cell edges are 9.2855, 9.2855 and 4.7267 Å and the angles 90.00°, 90.00° and 90.00°. The inequivalent atoms are Co at (0.0928, 0.0928, 0.0000), Co at (0.1807, 0.8193, 0.2485), Re at (0.0000, 0.0000, 0.5000), Re at (0.0366, 0.3629, 0.0000) and Re at (0.0677, 0.2611, 0.5000).

---

Entry from OQMD via LeMat-Bulk: a relaxed structure of KH3Au (PBE).

Its energy relative to the lowest polymorph listed for this composition is 101 meV per atom. The value obtained for the total energy is -14.90 eV for the cell shown.

The structure belongs to space group Pm-3m (No. 221); the cell edges are 3.8893, 3.8893 and 3.8893 Å and the angles 90.00°, 90.00° and 90.00°. The inequivalent atoms are K at (0.0000, 0.0000, 0.0000), H at (0.0000, 0.5000, 0.5000) and Au at (0.5000, 0.5000, 0.5000).